[1]
10
Lattice="3.513 0.000 0.000 0.000 13.964 -4.784 0.000 -10.569 10.304" Properties=species:S:1:pos:R:3 comment="TbNd2Ho7, relaxed, DFT PBE" magnetic_moment_mub_per_atom=0.000 crystal_system=orthorhombic e_form_kj_per_mol_atoms=15 sg=Cmmm pbc="T T T"
Tb 0.000 0.000 0.000
Nd 1.756 6.797 -0.376
Nd 1.756 -3.402 5.896
Ho 0.000 -6.043 7.521
Ho 0.000 9.438 -2.000
Ho 1.756 -1.565 2.837
Ho 1.756 4.961 2.684
Ho 1.756 1.698 2.760
Ho 1.756 0.157 5.638
Ho 1.756 3.238 -0.117

[2]
30
Lattice="-4.398 -4.955 -1.726 2.648 -6.247 -0.914 -3.726 -5.121 24.202" Properties=species:S:1:pos:R:3 comment="TbNd12Ho2, relaxed, DFT PBE" magnetic_moment_mub_per_atom=0.000 crystal_system=orthorhombic e_form_kj_per_mol_atoms=15 sg=Cmme pbc="T T T"
Nd -4.233 -7.261 9.184
Nd -3.861 -9.705 18.075
Nd -2.755 -5.774 13.496
Nd -2.568 -10.691 21.294
Nd -3.359 -11.425 12.208
Nd -1.615 -6.618 3.487
Nd -1.846 -4.948 9.386
Nd -0.794 -8.446 9.463
Nd -4.766 -8.417 11.973
Nd 0.615 -6.278 0.674
Nd -0.740 -1.017 4.807
Nd -1.159 -8.524 12.505
Nd -3.666 -7.257 20.390
Nd -1.787 -9.071 1.174
Nd -2.993 -10.499 8.034
Nd -0.934 -3.466 2.492
Nd -1.208 -1.661 7.849
Nd -3.393 -9.061 15.033
Nd -2.517 -3.460 16.353
Nd -4.565 -12.854 19.068
Nd -2.986 -4.104 19.395
Nd -6.084 -9.998 20.899
Nd -2.915 -5.679 0.257
Nd -2.084 -7.262 6.529
Tb -2.203 -2.482 -0.839
Tb -2.398 -8.240 23.721
Ho -1.393 -6.859 17.195
Ho 0.330 -4.489 5.997
Ho -3.207 -3.863 5.687
Ho -4.931 -6.233 16.885

[3]
9
Lattice="5.093 0.000 0.000 2.546 7.663 0.000 2.546 0.000 7.663" Properties=species:S:1:pos:R:3 comment="Tb4Nd4Ho, relaxed, DFT PBE" magnetic_moment_mub_per_atom=0.000 crystal_system=tetragonal e_form_kj_per_mol_atoms=2 sg=I4/mmm pbc="T T T"
Nd 7.639 5.113 7.662
Nd 5.093 0.001 5.113
Nd 2.546 2.551 0.001
Nd 5.093 7.662 2.551
Tb 5.093 5.100 5.100
Tb 7.639 5.100 2.563
Tb 2.546 2.563 5.100
Tb 5.093 2.563 2.563
Ho 0.000 0.000 0.000

[4]
10
Lattice="0.013 3.581 -0.593 -6.662 -4.654 5.113 10.917 2.892 6.533" Properties=species:S:1:pos:R:3 comment="TbNd3Ho, relaxed, DFT PBE" magnetic_moment_mub_per_atom=0.000 crystal_system=monoclinic e_form_kj_per_mol_atoms=1 sg=C2/m pbc="T T T"
Tb 3.453 2.898 6.452
Tb 0.814 -1.080 4.601
Ho -2.228 0.816 4.884
Ho 6.495 1.003 6.170
Nd 6.060 3.300 8.917
Nd 2.935 -1.966 10.397
Nd 0.356 1.215 7.349
Nd 3.911 0.604 3.704
Nd -1.793 -1.481 2.136
Nd 1.332 3.784 0.656

[5]
4
Lattice="3.567 0.000 0.000 0.000 5.645 0.000 -1.783 0.000 6.641" Properties=species:S:1:pos:R:3 comment="TbNd2Ho, relaxed, DFT PBE" magnetic_moment_mub_per_atom=0.000 crystal_system=orthorhombic e_form_kj_per_mol_atoms=5 sg=Amm2 pbc="T T T"
Tb 0.000 0.000 5.912
Nd 0.000 0.000 2.496
Nd 0.000 2.823 0.832
Ho 1.783 2.823 4.041

[6]
19
Lattice="-6.193 -2.409 -1.255 6.153 6.648 -9.296 -1.337 -11.634 3.853" Properties=species:S:1:pos:R:3 comment="Tb12Nd2Ho5, relaxed, DFT PBE" magnetic_moment_mub_per_atom=0.000 crystal_system=triclinic e_form_kj_per_mol_atoms=8 sg=P-1 pbc="T T T"
Nd -4.671 -2.317 -2.428
Nd 3.295 -5.079 -4.271
Ho -3.197 -7.866 -0.141
Ho -0.158 -5.366 -4.775
Ho 1.820 0.470 -6.557
Ho -1.218 -2.030 -1.924
Ho -0.668 -5.817 1.926
Tb 0.729 -5.100 -1.510
Tb 1.323 -2.185 -4.201
Tb -5.578 -5.149 -0.320
Tb 3.293 3.240 -8.741
Tb -0.692 0.582 -3.922
Tb 0.485 -8.793 0.226
Tb -2.106 -2.296 -5.189
Tb -0.684 -7.977 -2.777
Tb -1.861 1.397 -6.925
Tb -4.669 -10.635 2.042
Tb 4.201 -2.246 -6.378
Tb -2.700 -5.210 -2.497